Computed, not measured: a relaxed Sm8Os2Au crystal at the PBE-GGA level of DFT.

Summary:
Space group   No. 8
ΔE_f   -0.1611 eV/atom
DOS at the Fermi energy   1.1473 states/eV/atom
Volume   29.13 Å³ per atom

a = 7.759 Å, b = 7.759 Å, c = 6.000 Å
α = 99.31°, β = 99.31°, γ = 112.07°
Element x y z (fractional)
Sm: 0.000 0.000 0.000
Sm: 0.032 0.298 0.604
Sm: 0.145 0.603 0.199
Sm: 0.298 0.032 0.604
Sm: 0.443 0.709 0.798
Sm: 0.603 0.145 0.199
Sm: 0.709 0.443 0.798
Sm: 0.744 0.744 0.401
Os: 0.060 0.681 0.701
Os: 0.681 0.060 0.701
Au: 0.375 0.375 0.068